Record 1
CsTiI2N | PBEsol | relaxed

a b c (Å): 5.998 5.998 3.846
angles (deg): 90.00 90.00 90.00
Sites, in units of the cell vectors:
Cs 0.000 0.000 0.000
Ti 0.500 0.500 0.500
I 0.000 0.500 0.500
I 0.500 0.000 0.500
N 0.500 0.500 0.000

---

Record 2
CsYI2N | PBEsol | relaxed

a b c (Å): 6.533 6.533 4.304
angles (deg): 90.00 90.00 90.00
Sites, in units of the cell vectors:
Cs 0.000 0.000 0.000
Y 0.500 0.500 0.500
I 0.000 0.500 0.000
I 0.500 0.000 0.000
N 0.000 0.000 0.500

---

Record 3
CsNa2I | PBEsol | relaxed

a b c (Å): 8.430 8.430 8.430
angles (deg): 100.80 100.80 128.70
Sites, in units of the cell vectors:
Cs 0.000 0.000 0.000
Cs 0.750 0.250 0.500
Na 0.209 0.125 0.584
Na 0.375 0.791 0.916
Na 0.541 0.625 0.416
Na 0.875 0.459 0.084
I 0.250 0.750 0.500
I 0.500 0.500 0.000

---

Number 1: raw total energy -24.91 eV for the cell shown. Number 2: raw total energy -15.97 eV for the cell shown. Number 3: raw total energy -14.93 eV for the cell shown.